No. 1
Material: Na4ErNp3Te8
Method: DFT, PBE
State: relaxed

Summary:
**Crystal system**: monoclinic
**Space group**: C2/m
**Uncorrected formation energy**: -917 meV/atom

```
16
Lattice="-0.6771 6.7952 -5.7890 -6.7861 3.5514 4.9625 7.8904 -1.7749 3.9160" Properties=species:S:1:pos:R:3 pbc="T T T"
Na -0.3386 3.3976 -2.8945
Na 3.6067 2.5102 -0.9365
Na 0.0000 0.0000 0.0000
Na 3.9452 -0.8874 1.9580
Er -3.3930 1.7757 2.4813
Np -3.7316 5.1733 -0.4132
Np 0.2136 4.2859 1.5448
Np 0.5522 0.8883 4.4392
Te 2.3376 5.9482 3.1846
Te -1.3258 3.3836 4.1269
Te 2.0451 1.7660 1.8337
Te 2.6823 2.4888 6.1317
Te -2.2551 6.0830 -3.0422
Te -1.6178 6.8058 1.2558
Te 1.7530 5.1882 -1.0373
Te -1.9104 2.6236 -0.0951
```



No. 2
Material: Na3Er2NpTe6
Method: DFT, PBE
State: relaxed

Summary:
**Crystal system**: monoclinic
**Space group**: C2/m
**Uncorrected formation energy**: -1130 meV/atom

```
12
Lattice="7.6769 0.0106 0.0043 -3.8274 6.6548 0.0043 -1.2796 -2.2155 7.5462" Properties=species:S:1:pos:R:3 pbc="T T T"
Na -2.5642 4.4479 3.7774
Na 5.1341 0.0019 3.7774
Na 1.2850 2.2249 3.7774
Er 0.0117 4.4375 0.0043
Er 3.8378 2.2278 0.0043
Np 0.0000 0.0000 0.0000
Te 3.8660 2.1850 5.8019
Te 2.5414 4.4004 1.7594
Te -1.2960 2.2648 1.7529
Te -0.0395 4.4405 5.8019
Te 0.0285 0.0494 5.7954
Te 2.6094 0.0093 1.7529
```



No. 3
Material: Na4Er3NpTe8
Method: DFT, PBE
State: relaxed

Summary:
**Crystal system**: trigonal
**Space group**: R-3m
**Uncorrected formation energy**: -1172 meV/atom

```
16
Lattice="-0.9698 -8.7675 -0.7270 4.9864 0.0816 -7.6363 3.4045 3.4780 7.3922" Properties=species:S:1:pos:R:3 pbc="T T T"
Na -0.4849 -4.3837 -0.3635
Na 1.2173 -2.6448 3.3326
Na 0.0000 0.0000 0.0000
Na 1.7022 1.7390 3.6961
Er 2.0083 -4.3429 -4.1817
Er 3.7105 -2.6040 -0.4856
Er 4.1955 1.7798 -0.1221
Np 2.4932 0.0408 -3.8182
Te 6.7660 1.3216 1.5137
Te 5.0926 -0.3876 -2.1193
Te 2.8453 -0.4428 1.5449
Te 6.2893 -2.9872 1.1564
Te 1.1317 -2.2207 -2.1276
Te 4.5758 -4.7651 -2.5161
Te 2.3285 -4.8203 1.1481
Te 0.6551 -6.5295 -2.4849
```



No. 4
Material: Na5ErO4
Method: DFT, PBE
State: relaxed

Summary:
**Crystal system**: orthorhombic
**Space group**: Immm
**Uncorrected formation energy**: -1804 meV/atom

```
10
Lattice="-1.3336 -1.6137 2.8267 5.1629 -3.7200 0.3121 1.0095 7.0406 2.3071" Properties=species:S:1:pos:R:3 pbc="T T T"
Na 2.6096 1.0714 4.0313
Na -0.1188 3.0358 3.8655
Na 4.9577 -1.3289 1.5803
Na 1.9146 -2.6669 1.5694
Na 2.2292 0.6355 1.4145
Er -0.6668 -0.8068 1.4133
O 4.4345 0.9124 2.6129
O 3.9468 -2.8428 0.2391
O 0.4044 0.7945 2.8329
O 0.8921 4.5497 5.2067
```



No. 5
Material: NaErO
Method: DFT, PBE
State: relaxed

Summary:
**Crystal system**: trigonal
**Space group**: P3m1
**Uncorrected formation energy**: -1715 meV/atom

```
3
Lattice="-1.7876 1.8389 -2.5917 -1.8536 -1.6639 2.6626 0.3428 5.6172 3.7490" Properties=species:S:1:pos:R:3 pbc="T T T"
Na 0.3422 5.6062 3.7417
O -1.6505 3.2778 0.8994
Er -1.6472 2.5252 2.9278
```



No. 6
Material: NaEr2OsO8
Method: DFT, PBE
State: relaxed

Summary:
**Crystal system**: monoclinic
**Space group**: P2/m
**Uncorrected formation energy**: -1964 meV/atom

```
12
Lattice="5.0684 -0.0598 -0.0029 -0.0428 4.6745 -0.0043 0.0045 0.0078 7.0066" Properties=species:S:1:pos:R:3 pbc="T T T"
Na 0.0023 0.0039 3.5033
Er 2.5162 2.3124 5.2522
Er 2.5139 2.3101 1.7472
Os 0.0000 0.0000 0.0000
O 0.7394 3.6413 1.3211
O 3.5075 3.4602 7.0006
O 4.2862 0.9759 1.3203
O 4.2907 0.9812 5.6783
O 1.5226 1.1623 -0.0011
O 0.7439 3.6466 5.6791
O 3.0175 3.5026 3.4986
O 2.0126 1.1200 3.5008
```



We obtain size of the total moment values of 4.01 4.00 4.00 0.00 0.21 1.03 μB/f.u. for the records listed above, in that order.
We obtain VASP energy values of -5.53 -4.87 -4.74 -4.90 -5.33 -7.08 eV per atom for the records listed above, in that order.